DFT (PBE-GGA) results for ThBe2SiC after structural relaxation.

Summary:
Total magnetic moment = 0.00 μB/cell
Formation energy from raw total energies = -301 meV per atom
Space group = Cmcm (63)
E_tot = -6.205 eV/atom

Cell: 5.8051 5.8051 6.7384 Å, 90.00 90.00 142.01°
Closest atoms and distances in Å follow each position.
Fractional positions:
Th: 0.0612 0.9388 0.7500  4 C 2.62
Th: 0.9388 0.0612 0.2500  4 C 2.62
Be: 0.3504 0.6496 0.5772  1 C 1.72
Be: 0.3504 0.6496 0.9228  1 C 1.72
Be: 0.6496 0.3504 0.0772  1 C 1.72
Be: 0.6496 0.3504 0.4228  1 C 1.72
Si: 0.2212 0.7788 0.2500  6 Be 2.35-2.62
Si: 0.7788 0.2212 0.7500  6 Be 2.35-2.62
C: 0.5000 0.5000 0.0000  2 Be 1.72
C: 0.5000 0.5000 0.5000  2 Be 1.72